[1]
A PBEsol-optimized structure of RbBrN2, computed with SCAN.

Values from the calculation:
Formation energy from raw total energies: 1920 meV/atom
Space-group type: R-3m, No. 166
Total magnetization: 0.00 μB/atom

Lattice parameters (Å, degrees): 3.272 3.272 7.719 77.76 77.76 60.00
Fractional coordinates of all 4 atoms:
Br1 0.500 0.500 0.500
N1 0.116 0.116 0.652
N2 0.884 0.884 0.348
Rb1 0.000 0.000 0.000

***

[2]
A PBEsol-optimized structure of CrSnSb2I, computed with SCAN.

Values from the calculation:
Formation energy from raw total energies: 891 meV/atom
Space-group type: P4/mmm, No. 123
Total magnetization: 0.76 μB/atom

Lattice parameters (Å, degrees): 5.577 5.577 5.805 90.00 90.00 90.00
Fractional coordinates of all 5 atoms:
Sb1 0.000 0.500 0.000
Cr1 0.500 0.500 0.500
Sn1 0.000 0.000 0.000
I1 0.000 0.000 0.500
Sb2 0.500 0.000 0.000

***

[3]
A PBEsol-optimized structure of Dy2FeCo3, computed with SCAN.

Values from the calculation:
Energy of formation from the pure elements: -0.161 eV per atom
Space-group type: R-3m, No. 166
Total magnetization: 0.82 μB/atom

Lattice parameters (Å, degrees): 4.889 4.889 4.889 62.74 62.74 62.74
Fractional coordinates of all 6 atoms:
Dy1 0.373 0.373 0.373
Fe1 0.000 0.000 0.000
Dy2 0.627 0.627 0.627
Co1 0.000 0.500 0.000
Co2 0.000 0.000 0.500
Co3 0.500 0.000 0.000

***

[4]
A PBEsol-optimized structure of ScCr3H, computed with SCAN.

Values from the calculation:
Space-group type: Pm-3m, No. 221
Total magnetization: 1.66 μB/atom

Lattice parameters (Å, degrees): 3.832 3.832 3.832 90.00 90.00 90.00
Fractional coordinates of all 5 atoms:
Cr1 0.500 0.000 0.000
Cr2 0.000 0.500 0.000
Sc1 0.500 0.500 0.500
Cr3 0.000 0.000 0.500
H1 0.000 0.000 0.000

***

[5]
A PBEsol-optimized structure of ScCl, computed with SCAN.

Values from the calculation:
Formation energy from raw total energies: -1370 meV/atom
Space-group type: Cm, No. 8
Total magnetization: 0.00 μB/atom

Lattice parameters (Å, degrees): 3.342 6.404 6.459 119.27 90.00 105.13
Fractional coordinates of all 6 atoms:
Sc1 0.248 0.496 0.985
Sc2 0.924 0.848 0.489
Cl1 0.611 0.221 0.641
Sc3 0.996 0.992 0.091
Cl2 0.373 0.745 0.747
Cl3 0.682 0.364 0.214

***

[6]
A PBEsol-optimized structure of Fe6Co, computed with SCAN.

Values from the calculation:
Energy of formation from the pure elements: -0.073 eV per atom
Space-group type: R-3, No. 148
Total magnetization: 2.44 μB/atom

Lattice parameters (Å, degrees): 2.423 6.082 6.082 118.26 97.63 97.63
Fractional coordinates of all 7 atoms:
Fe1 0.143 0.858 0.572
Fe2 0.571 0.428 0.286
Fe3 0.857 0.142 0.428
Co1 0.000 0.000 0.000
Fe4 0.286 0.714 0.142
Fe5 0.429 0.572 0.714
Fe6 0.714 0.286 0.858

***

[7]
A PBEsol-optimized structure of CsTaCl3, computed with SCAN.

Values from the calculation:
Formation energy from raw total energies: -1069 meV/atom
Space-group type: Pm-3m, No. 221
Total magnetization: 0.00 μB/atom

Lattice parameters (Å, degrees): 4.927 4.927 4.927 90.00 90.00 90.00
Fractional coordinates of all 5 atoms:
Ta1 0.000 0.000 0.000
Cl1 0.000 0.000 0.500
Cl2 0.500 0.000 0.000
Cs1 0.500 0.500 0.500
Cl3 0.000 0.500 0.000

***

[8]
A PBEsol-optimized structure of MgInRh, computed with SCAN.

Values from the calculation:
Energy of formation from the pure elements: -0.459 eV per atom
Space-group type: Imm2, No. 44
Total magnetization: 0.00 μB/atom

Lattice parameters (Å, degrees): 3.138 3.516 5.193 109.79 107.58 90.00
Fractional coordinates of all 3 atoms:
In1 0.989 0.989 0.978
Mg1 0.682 0.682 0.364
Rh1 0.329 0.329 0.657

***

[9]
A PBEsol-optimized structure of YSi5, computed with SCAN.

Values from the calculation:
Formation energy from raw total energies: 114 meV/atom
Space-group type: F-43m, No. 216
Total magnetization: 0.00 μB/atom

Lattice parameters (Å, degrees): 5.131 5.131 5.131 60.00 60.00 60.00
Fractional coordinates of all 6 atoms:
Si1 0.127 0.624 0.624
Si2 0.250 0.250 0.250
Si3 0.624 0.127 0.624
Y1 0.000 0.000 0.000
Si4 0.624 0.624 0.624
Si5 0.624 0.624 0.127

***

[10]
A PBEsol-optimized structure of Li2InRu, computed with SCAN.

Values from the calculation:
Energy of formation from the pure elements: -0.037 eV per atom
Space-group type: P2/m, No. 10
Total magnetization: 0.19 μB/atom

Lattice parameters (Å, degrees): 2.854 4.644 4.710 90.00 93.23 90.00
Fractional coordinates of all 4 atoms:
Ru1 0.500 0.500 0.000
In1 0.000 0.500 0.500
Li1 0.248 0.000 0.219
Li2 0.752 0.000 0.781

***

[11]
A PBEsol-optimized structure of NaPd2F2, computed with SCAN.

Values from the calculation:
Formation energy from raw total energies: -652 meV/atom
Space-group type: I4/mmm, No. 139
Total magnetization: 0.29 μB/atom

Lattice parameters (Å, degrees): 4.393 4.393 5.193 115.02 115.02 90.00
Fractional coordinates of all 5 atoms:
F1 0.250 0.750 0.500
Pd1 0.663 0.663 0.325
Pd2 0.337 0.337 0.675
Na1 0.000 0.000 0.000
F2 0.750 0.250 0.500

***

[12]
A PBEsol-optimized structure of SrMoW2, computed with SCAN.

Values from the calculation:
Energy of formation from the pure elements: 0.822 eV per atom
Space-group type: Pmm2, No. 25
Total magnetization: 0.00 μB/atom

Lattice parameters (Å, degrees): 3.333 3.423 7.459 90.00 90.00 90.00
Fractional coordinates of all 4 atoms:
W1 0.500 0.500 0.250
Sr1 0.500 0.500 0.750
W2 0.000 0.000 0.086
Mo1 0.000 0.000 0.414

***

[13]
A PBEsol-optimized structure of BaCa2Tl, computed with SCAN.

Values from the calculation:
Energy of formation from the pure elements: -0.325 eV per atom
Space-group type: P4mm, No. 99
Total magnetization: 0.02 μB/atom

Lattice parameters (Å, degrees): 3.986 3.989 9.654 89.99 90.00 90.00
Fractional coordinates of all 4 atoms:
Ca1 0.500 0.500 0.301
Ba1 0.500 0.500 0.702
Tl1 0.000 0.000 0.468
Ca2 0.000 0.000 0.029

***

[14]
A PBEsol-optimized structure of MnB2H8, computed with SCAN.

Values from the calculation:
Space-group type: P3_112, No. 151
Total magnetization: 0.45 μB/atom

Lattice parameters (Å, degrees): 9.989 9.989 10.659 90.00 90.00 120.00
Fractional coordinates of all 99 atoms:
H1 0.095 0.100 0.845
B1 0.041 0.959 0.833
H2 0.133 0.654 0.043
B2 0.377 0.368 0.016
H3 0.564 0.487 0.688
H4 0.366 0.095 0.905
H5 0.938 0.709 0.118
H6 0.548 0.664 0.599
H7 0.905 0.634 0.761
B3 0.632 0.009 0.350
H8 0.513 0.436 0.979
H9 0.059 0.892 0.924
H10 0.260 0.324 0.684
B4 0.046 0.523 0.000
H11 0.513 0.076 0.021
H12 0.260 0.935 0.316
H13 0.242 0.496 0.760
H14 0.924 0.436 0.354
Mn1 0.900 0.799 0.667
H15 0.811 0.538 0.251
H16 0.548 0.883 0.401
Mn2 0.024 0.587 0.210
H17 0.366 0.271 0.095
Mn3 0.024 0.437 0.790
B5 0.632 0.623 0.650
Mn4 0.900 0.100 0.333
H18 0.575 0.536 0.410
H19 0.297 0.314 0.921
B6 0.477 0.954 0.667
H20 0.811 0.273 0.749
B7 0.376 0.188 0.500
H21 0.771 0.062 0.784
B8 0.477 0.523 0.333
H22 0.297 0.983 0.079
H23 0.133 0.479 0.957
B9 0.917 0.959 0.500
H24 0.336 0.883 0.932
H25 0.254 0.496 0.573
B10 0.590 0.795 0.000
H26 0.686 0.703 0.746
H27 0.924 0.487 0.646
B11 0.377 0.009 0.984
H28 0.905 0.271 0.239
H29 0.108 0.941 0.742
H30 0.017 0.703 0.588
H31 0.108 0.167 0.258
H32 0.065 0.324 0.650
H33 0.006 0.100 0.489
B12 0.205 0.410 0.667
H34 0.291 0.062 0.549
B13 0.041 0.083 0.167
H35 0.833 0.892 0.409
Mn5 0.413 0.976 0.457
H36 0.729 0.095 0.428
H37 0.900 0.994 0.178
H38 0.095 0.994 0.155
H39 0.462 0.273 0.585
B14 0.991 0.368 0.317
H40 0.504 0.758 0.907
H41 0.676 0.935 0.017
H42 0.346 0.479 0.377
H43 0.938 0.229 0.882
H44 0.464 0.425 0.257
B15 0.991 0.623 0.683
H45 0.961 0.536 0.924
H46 0.117 0.452 0.265
H47 0.564 0.076 0.312
H48 0.729 0.634 0.572
H49 0.900 0.905 0.822
H50 0.291 0.229 0.451
H51 0.727 0.189 0.918
B16 0.205 0.795 0.333
H52 0.017 0.314 0.412
B17 0.812 0.624 0.167
H53 0.504 0.746 0.093
H54 0.346 0.867 0.623
H55 0.464 0.039 0.743
H56 0.521 0.654 0.290
Mn6 0.413 0.437 0.543
H57 0.117 0.664 0.735
Mn7 0.201 0.100 0.000
H58 0.676 0.740 0.983
H59 0.006 0.905 0.511
H60 0.462 0.189 0.415
B18 0.812 0.188 0.833
H61 0.059 0.167 0.076
H62 0.961 0.425 0.076
Mn8 0.563 0.976 0.876
H63 0.575 0.039 0.590
H64 0.336 0.452 0.068
H65 0.771 0.709 0.216
H66 0.521 0.867 0.710
H67 0.065 0.740 0.350
Mn9 0.563 0.587 0.124
H68 0.254 0.758 0.427
H69 0.686 0.983 0.254
H70 0.727 0.538 0.082
H71 0.833 0.941 0.591
H72 0.242 0.746 0.240

***

[15]
A PBEsol-optimized structure of Zn2PCl, computed with SCAN.

Values from the calculation:
Formation energy from raw total energies: -607 meV/atom
Space-group type: P-4m2, No. 115
Total magnetization: 0.00 μB/atom

Lattice parameters (Å, degrees): 4.025 4.023 5.239 90.00 89.99 90.00
Fractional coordinates of all 4 atoms:
P1 0.125 0.500 0.000
Zn1 0.125 0.000 0.799
Cl1 0.625 0.000 0.500
Zn2 0.625 0.500 0.201

***

[16]
A PBEsol-optimized structure of Na2ReW, computed with SCAN.

Values from the calculation:
Energy of formation from the pure elements: 2.184 eV per atom
Space-group type: Fm-3m, No. 225
Total magnetization: 0.01 μB/atom

Lattice parameters (Å, degrees): 4.626 4.626 4.626 60.00 60.00 60.00
Fractional coordinates of all 4 atoms:
Na1 0.250 0.250 0.250
Na2 0.750 0.750 0.750
W1 0.000 0.000 0.000
Re1 0.500 0.500 0.500

***

[17]
A PBEsol-optimized structure of KLa2Si, computed with SCAN.

Values from the calculation:
Formation energy from raw total energies: 68 meV/atom
Space-group type: I4/mmm, No. 139
Total magnetization: 0.00 μB/atom

Lattice parameters (Å, degrees): 5.038 5.614 5.038 63.34 90.00 116.66
Fractional coordinates of all 4 atoms:
K1 0.000 0.000 0.000
La1 0.250 0.500 0.250
La2 0.750 0.500 0.750
Si1 0.500 0.000 0.500

***

[18]
A PBEsol-optimized structure of CaTl2Au, computed with SCAN.

Values from the calculation:
Energy of formation from the pure elements: -0.410 eV per atom
Space-group type: Immm, No. 71
Total magnetization: 0.00 μB/atom

Lattice parameters (Å, degrees): 3.824 5.250 5.888 116.48 108.95 90.00
Fractional coordinates of all 4 atoms:
Tl1 0.276 0.276 0.553
Tl2 0.724 0.724 0.447
Au1 0.000 0.500 0.000
Ca1 0.500 0.000 0.000

***

[19]
A PBEsol-optimized structure of Rh2PbAu, computed with SCAN.

Values from the calculation:
Energy of formation from the pure elements: 0.154 eV per atom
Space-group type: P4/mmm, No. 123
Total magnetization: 0.00 μB/atom

Lattice parameters (Å, degrees): 3.275 3.275 6.154 90.00 90.00 90.00
Fractional coordinates of all 4 atoms:
Pb1 0.500 0.500 0.500
Rh1 0.000 0.000 0.753
Rh2 0.000 0.000 0.247
Au1 0.500 0.500 0.000

***

[20]
A PBEsol-optimized structure of NbAlHg3, computed with SCAN.

Values from the calculation:
Energy of formation from the pure elements: 0.804 eV per atom
Space-group type: Pm-3m, No. 221
Total magnetization: 0.69 μB/atom

Lattice parameters (Å, degrees): 4.931 4.931 4.931 90.00 90.00 90.00
Fractional coordinates of all 5 atoms:
Nb1 0.500 0.500 0.500
Hg1 0.500 0.000 0.000
Hg2 0.000 0.000 0.500
Hg3 0.000 0.500 0.000
Al1 0.000 0.000 0.000

***

Number 1: calculated total energy -51.1 eV for the cell shown. Number 2: calculated total energy -161.1 eV for the cell shown. Number 3: calculated total energy -166.6 eV for the cell shown. Number 4: calculated total energy -71.1 eV for the cell shown. Number 5: calculated total energy -74.9 eV for the cell shown. Number 6: calculated total energy -126.6 eV for the cell shown. Number 7: calculated total energy -133.7 eV for the cell shown. Number 8: calculated total energy -73.5 eV for the cell shown. Number 9: calculated total energy -77.2 eV for the cell shown. Number 10: calculated total energy -73.1 eV for the cell shown. Number 11: calculated total energy -80.1 eV for the cell shown. Number 12: calculated total energy -193.2 eV for the cell shown. Number 13: calculated total energy -132.5 eV for the cell shown. Number 14: calculated total energy -561.0 eV for the cell shown. Number 15: calculated total energy -47.8 eV for the cell shown. Number 16: calculated total energy -140.5 eV for the cell shown. Number 17: calculated total energy -104.3 eV for the cell shown. Number 18: calculated total energy -225.2 eV for the cell shown. Number 19: calculated total energy -211.9 eV for the cell shown. Number 20: calculated total energy -241.4 eV for the cell shown.